Record 1
First-principles (PBE) data for crystalline Be3RePb at its relaxed geometry, as listed in the Alexandria database.

Output
DFT formation energy = 2.103 eV per atom
ρ = 7598 kg/m³
DOS(E_F) = 0.855 states/eV/f.u.

Structure (CIF):
```
data_Be3RePb
_chemical_formula_sum 'Be3 Re1 Pb1'
_cell_length_a 4.513
_cell_length_b 4.513
_cell_length_c 4.513
_cell_angle_alpha 90.00
_cell_angle_beta 90.00
_cell_angle_gamma 90.00
_space_group_name_H-M_alt 'P m -3 m'
_space_group_IT_number 221
_space_group_name_Hall '-P 4 2 3'
loop_
_atom_site_label
_atom_site_fract_x
_atom_site_fract_y
_atom_site_fract_z
Be1 0.000 0.000 0.500
Re1 0.500 0.500 0.500
Pb1 0.000 0.000 0.000
```


Record 2
First-principles (PBE) data for crystalline Sm2Si4TcPt3 at its relaxed geometry, as listed in the Alexandria database.

Output
ρ = 10315 kg/m³
DOS(E_F) = 6.181 states/eV/f.u.
formation energy from raw total energies = -1.039 eV/atom

Structure (CIF):
```
data_Sm2Si4TcPt3
_chemical_formula_sum 'Sm2 Si4 Tc1 Pt3'
_cell_length_a 4.225
_cell_length_b 4.225
_cell_length_c 9.885
_cell_angle_alpha 90.00
_cell_angle_beta 90.00
_cell_angle_gamma 90.00
_space_group_name_H-M_alt 'P -4 m 2'
_space_group_IT_number 115
loop_
_space_group_symop_operation_xyz
'x,y,z'
'y,-x,-z'
'-x,-y,z'
'-y,x,-z'
'-x,y,z'
'-y,-x,-z'
'x,-y,z'
'y,x,-z'
loop_
_atom_site_label
_atom_site_fract_x
_atom_site_fract_y
_atom_site_fract_z
Sm1 0.000 0.500 0.245
Si1 0.000 0.000 0.000
Si2 0.000 0.500 0.627
Si3 0.500 0.500 0.000
Tc1 0.000 0.000 0.500
Pt1 0.000 0.500 0.875
Pt2 0.500 0.500 0.500
```


Record 3
First-principles (PBE) data for crystalline Cs3CeTl2O6 at its relaxed geometry, as listed in the Alexandria database.

Output
ρ = 5759 kg/m³
DOS(E_F) = 6.089 states/eV/f.u.
formation energy from raw total energies = -1.493 eV/atom

Structure (CIF):
```
data_Cs3CeTl2O6
_chemical_formula_sum 'Cs3 Ce1 Tl2 O6'
_cell_length_a 6.6459
_cell_length_b 6.6459
_cell_length_c 7.8670
_cell_angle_alpha 90.00
_cell_angle_beta 90.00
_cell_angle_gamma 120.00
_space_group_name_H-M_alt 'P -3 m 1'
_space_group_IT_number 164
_space_group_name_Hall '-P 3 2"'
loop_
_atom_site_label
_atom_site_fract_x
_atom_site_fract_y
_atom_site_fract_z
Cs1 0.0000 0.0000 0.0000
Cs2 0.3333 0.6667 0.6841
Ce1 0.0000 0.0000 0.5000
Tl1 0.3333 0.6667 0.2380
O1 0.1560 0.3121 0.3294
```


Record 4
First-principles (PBE) data for crystalline TmAg2Au at its relaxed geometry, as listed in the Alexandria database.

Output
DFT formation energy = -0.337 eV per atom
ρ = 12148 kg/m³
DOS(E_F) = 2.231 states/eV/f.u.

Structure (CIF):
```
data_TmAg2Au
_chemical_formula_sum 'Tm4 Ag8 Au4'
_cell_length_a 6.826
_cell_length_b 6.826
_cell_length_c 6.826
_cell_angle_alpha 90.00
_cell_angle_beta 90.00
_cell_angle_gamma 90.00
_space_group_name_H-M_alt 'F m -3 m'
_space_group_IT_number 225
_space_group_name_Hall '-F 4 2 3'
loop_
_atom_site_label
_atom_site_fract_x
_atom_site_fract_y
_atom_site_fract_z
Tm1 0.000 0.000 0.000
Ag1 0.250 0.250 0.250
Au1 0.000 0.000 0.500
```


Q: What is the ρ in the first record?
A: 7598 kg/m³


Q: Among the records above, which one has the highest DOS(E_F)?
A: Sm2Si4TcPt3